No. 1
Tb3Tm5Tl2 after structural relaxation. Source: Alexandria, functional PBE. Values from VASP.

```
&SYSTEM
  ibrav = 0, nat = 20, ntyp = 3
/
ATOMIC_SPECIES
Tm 168.93 Tm.upf
Tl 204.38 Tl.upf
Tb 158.93 Tb.upf
CELL_PARAMETERS angstrom
-6.067 -0.828 -1.725
-0.162 -6.945 -7.826
-4.423 -6.472 6.932
ATOMIC_POSITIONS angstrom
Tm -1.761 -5.347 -2.970
Tm -7.209 -4.218 -1.947
Tm -6.197 -5.606 1.023
Tm -3.809 -6.916 -0.878
Tm -6.843 -7.330 -1.741
Tm -3.443 -10.028 -0.673
Tm -4.456 -8.640 -3.642
Tm -6.476 -10.442 -1.536
Tm -4.176 -3.803 -1.084
Tm -8.891 -8.899 0.350
Tl -0.983 -5.182 -5.783
Tl -3.618 -8.984 -6.422
Tl -7.034 -5.261 3.802
Tl -9.669 -9.064 3.163
Tb -4.550 -0.621 -1.294
Tb -3.633 -5.068 3.480
Tb -4.341 -5.740 -5.437
Tb -6.311 -8.505 2.817
Tb -7.019 -9.178 -6.100
Tb -1.517 -0.207 -0.431
```

- ΔE_f (meV per atom) = 128
- total magnetization (μB/cell) = 0.0
- DFT total energy (eV/atom) = -3.9698
- D(E_F) (states/eV per atom) = 1.329

---

No. 2
TbTm3Tl2 after structural relaxation. Source: Alexandria, functional PBE. Values from VASP.

```
&SYSTEM
  ibrav = 0, nat = 12, ntyp = 3
/
ATOMIC_SPECIES
Tm 168.93 Tm.upf
Tl 204.38 Tl.upf
Tb 158.93 Tb.upf
CELL_PARAMETERS angstrom
-2.151 -3.857 2.424
-2.523 -2.288 -5.879
8.132 -5.406 -1.386
ATOMIC_POSITIONS angstrom
Tm -1.247 -4.464 -2.973
Tm 5.119 -6.712 -0.903
Tm 3.527 -5.642 -5.847
Tm -2.050 -2.418 -5.666
Tm 6.632 -6.207 -3.991
Tm 1.671 -2.425 -2.376
Tl -0.531 -3.119 -0.198
Tl 0.991 -3.793 -5.155
Tl 4.197 -8.244 -4.158
Tl 4.415 -4.085 -2.584
Tb 1.959 -6.119 -2.763
Tb 2.518 -4.508 0.296
```

- ΔE_f (meV per atom) = -259
- offset from the most stable computed form (eV per formula unit) = 0.00
- total magnetization (μB/cell) = 0.0
- DFT total energy (eV/atom) = -4.0554
- D(E_F) (states/eV per atom) = 0.950

---

No. 3
Tb2TmTl3 after structural relaxation. Source: Alexandria, functional PBE. Values from VASP.

```
&SYSTEM
  ibrav = 0, nat = 6, ntyp = 3
/
ATOMIC_SPECIES
Tl 204.38 Tl.upf
Tb 158.93 Tb.upf
Tm 168.93 Tm.upf
CELL_PARAMETERS angstrom
3.661 0.000 0.000
0.000 3.661 0.000
0.000 0.000 12.214
ATOMIC_POSITIONS angstrom
Tl 0.000 0.000 0.000
Tl 0.000 0.000 4.116
Tl 0.000 0.000 8.098
Tb 1.831 1.831 2.056
Tb 1.831 1.831 10.158
Tm 1.831 1.831 6.107
```

- ΔE_f (meV per atom) = -338
- total magnetization (μB/cell) = 0.0
- DFT total energy (eV/atom) = -3.8102
- D(E_F) (states/eV per atom) = 0.756

---

No. 4
TbTm2Tl after structural relaxation. Source: Alexandria, functional PBE. Values from VASP.

```
&SYSTEM
  ibrav = 0, nat = 4, ntyp = 3
/
ATOMIC_SPECIES
Tl 204.38 Tl.upf
Tm 168.93 Tm.upf
Tb 158.93 Tb.upf
CELL_PARAMETERS angstrom
3.596 0.000 0.000
0.000 3.596 0.000
0.000 0.000 9.000
ATOMIC_POSITIONS angstrom
Tl 1.798 1.798 0.000
Tm 0.000 0.000 2.060
Tm 0.000 0.000 6.941
Tb 1.798 1.798 4.500
```

- ΔE_f (meV per atom) = -166
- offset from the most stable computed form (eV per formula unit) = 0.01
- total magnetization (μB/cell) = 0.0
- DFT total energy (eV/atom) = -4.1509
- D(E_F) (states/eV per atom) = 1.007

---

No. 5
TbTm3Tl2 after structural relaxation. Source: Alexandria, functional PBE. Values from VASP.

```
&SYSTEM
  ibrav = 0, nat = 12, ntyp = 3
/
ATOMIC_SPECIES
Tm 168.93 Tm.upf
Tl 204.38 Tl.upf
Tb 158.93 Tb.upf
CELL_PARAMETERS angstrom
5.341 0.000 0.000
-2.670 8.684 -0.877
0.000 -4.707 7.912
ATOMIC_POSITIONS angstrom
Tm 2.670 4.856 3.963
Tm 0.000 2.495 4.243
Tm 2.670 1.482 2.792
Tm 0.000 5.198 1.813
Tm 0.000 -0.879 3.072
Tm 2.670 -1.221 5.222
Tl 2.670 4.123 0.696
Tl 2.670 -3.697 6.846
Tl 0.000 -0.146 6.339
Tl 0.000 7.675 0.189
Tb 2.670 2.144 6.517
Tb 0.000 1.833 0.518
```

- ΔE_f (meV per atom) = -150
- offset from the most stable computed form (eV per formula unit) = 0.66
- total magnetization (μB/cell) = 0.6
- DFT total energy (eV/atom) = -3.9462
- D(E_F) (states/eV per atom) = 1.065

---

No. 6
Tb12Tm3Tl after structural relaxation. Source: Alexandria, functional PBE. Values from VASP.

```
&SYSTEM
  ibrav = 0, nat = 16, ntyp = 3
/
ATOMIC_SPECIES
Tm 168.93 Tm.upf
Tb 158.93 Tb.upf
Tl 204.38 Tl.upf
CELL_PARAMETERS angstrom
4.955 0.000 0.000
0.000 4.955 0.000
0.000 0.000 20.129
ATOMIC_POSITIONS angstrom
Tm 0.000 0.000 5.014
Tm 0.000 0.000 10.065
Tm 0.000 0.000 15.116
Tb 2.478 2.478 0.000
Tb 2.478 0.000 12.602
Tb 0.000 2.478 7.527
Tb 2.478 2.478 4.957
Tb 0.000 2.478 12.602
Tb 0.000 2.478 2.469
Tb 0.000 2.478 17.660
Tb 2.478 0.000 7.527
Tb 2.478 2.478 10.065
Tb 2.478 0.000 17.660
Tb 2.478 0.000 2.469
Tb 2.478 2.478 15.172
Tl 0.000 0.000 0.000
```

- ΔE_f (meV per atom) = -28
- total magnetization (μB/cell) = 0.0
- DFT total energy (eV/atom) = -4.4870
- D(E_F) (states/eV per atom) = 1.275

---

No. 7
Tb5TmTl2 after structural relaxation. Source: Alexandria, functional PBE. Values from VASP.

```
&SYSTEM
  ibrav = 0, nat = 8, ntyp = 3
/
ATOMIC_SPECIES
Tb 158.93 Tb.upf
Tl 204.38 Tl.upf
Tm 168.93 Tm.upf
CELL_PARAMETERS angstrom
3.582 0.000 0.000
1.791 8.244 -0.516
1.791 1.989 8.017
ATOMIC_POSITIONS angstrom
Tb 1.791 5.116 3.751
Tb 3.582 5.189 0.794
Tb 3.582 5.044 6.707
Tb 3.582 2.319 4.709
Tb 3.582 7.914 2.792
Tl 1.791 2.431 1.783
Tl 5.373 7.801 5.719
Tm 0.000 0.000 0.000
```

- ΔE_f (meV per atom) = -98
- offset from the most stable computed form (eV per formula unit) = 0.00
- total magnetization (μB/cell) = 0.0
- DFT total energy (eV/atom) = -4.1421
- D(E_F) (states/eV per atom) = 1.365

---

No. 8
Tb4Tm4Tl after structural relaxation. Source: Alexandria, functional PBE. Values from VASP.

```
&SYSTEM
  ibrav = 0, nat = 9, ntyp = 3
/
ATOMIC_SPECIES
Tl 204.38 Tl.upf
Tb 158.93 Tb.upf
Tm 168.93 Tm.upf
CELL_PARAMETERS angstrom
4.867 0.000 0.000
2.434 7.455 0.000
2.434 0.000 7.455
ATOMIC_POSITIONS angstrom
Tl 0.000 0.000 0.000
Tb 4.867 5.029 0.000
Tb 4.867 2.426 7.455
Tb 2.434 0.000 2.426
Tb 7.301 7.455 5.029
Tm 4.867 4.947 4.947
Tm 7.301 4.947 2.509
Tm 2.434 2.509 4.947
Tm 4.867 2.509 2.509
```

- ΔE_f (meV per atom) = -36
- total magnetization (μB/cell) = 0.0
- DFT total energy (eV/atom) = -4.3441
- D(E_F) (states/eV per atom) = 1.520

---

No. 9
Tb3Tm2Tl2 after structural relaxation. Source: Alexandria, functional PBE. Values from VASP.

```
&SYSTEM
  ibrav = 0, nat = 7, ntyp = 3
/
ATOMIC_SPECIES
Tb 158.93 Tb.upf
Tl 204.38 Tl.upf
Tm 168.93 Tm.upf
CELL_PARAMETERS angstrom
4.956 0.000 0.658
0.000 3.497 0.000
0.946 0.000 11.875
ATOMIC_POSITIONS angstrom
Tb 0.000 0.000 0.000
Tb 4.504 0.000 4.066
Tb 1.398 0.000 8.466
Tl 3.648 1.748 10.516
Tl 2.254 1.748 2.017
Tm 1.822 1.748 5.271
Tm 4.080 1.748 7.262
```

- ΔE_f (meV per atom) = -92
- offset from the most stable computed form (eV per formula unit) = 0.68
- total magnetization (μB/cell) = 0.5
- DFT total energy (eV/atom) = -4.0300
- D(E_F) (states/eV per atom) = 0.848

---

No. 10
Tb2Tm2Tl5 after structural relaxation. Source: Alexandria, functional PBE. Values from VASP.

```
&SYSTEM
  ibrav = 0, nat = 18, ntyp = 3
/
ATOMIC_SPECIES
Tl 204.38 Tl.upf
Tb 158.93 Tb.upf
Tm 168.93 Tm.upf
CELL_PARAMETERS angstrom
-6.917 -3.524 2.302
3.126 -1.408 7.238
-4.329 7.816 -1.042
ATOMIC_POSITIONS angstrom
Tl -4.749 -0.575 3.254
Tl -3.497 4.894 1.148
Tl -1.895 -2.466 4.770
Tl -7.464 1.983 4.924
Tl -7.591 3.419 0.827
Tl -0.528 -0.535 7.672
Tl -4.622 -2.010 7.351
Tl -3.370 3.459 5.245
Tl -0.655 0.901 3.575
Tl 0.000 0.000 0.000
Tb -1.107 2.846 1.031
Tb -0.096 3.562 5.165
Tb -5.117 2.504 2.697
Tb -3.002 0.380 5.802
Tm -1.912 -1.430 1.896
Tm -1.879 -3.501 7.645
Tm -4.758 -3.468 4.464
Tm 0.967 -1.464 5.077
```

- ΔE_f (meV per atom) = -175
- total magnetization (μB/cell) = 0.0
- DFT total energy (eV/atom) = -3.5123
- D(E_F) (states/eV per atom) = 0.684

---

No. 11
Tb14TmTl after structural relaxation. Source: Alexandria, functional PBE. Values from VASP.

```
&SYSTEM
  ibrav = 0, nat = 16, ntyp = 3
/
ATOMIC_SPECIES
Tb 158.93 Tb.upf
Tm 168.93 Tm.upf
Tl 204.38 Tl.upf
CELL_PARAMETERS angstrom
6.987 0.938 0.000
-0.937 6.987 0.000
0.000 0.000 10.037
ATOMIC_POSITIONS angstrom
Tb 5.996 1.694 5.019
Tb 0.525 2.742 2.484
Tb 0.525 2.742 7.553
Tb 2.500 1.224 5.019
Tb 3.543 6.695 2.484
Tb 0.056 6.228 2.480
Tb 2.032 4.720 5.019
Tb 5.527 5.181 0.000
Tb 2.509 1.227 0.000
Tb 3.543 6.695 7.553
Tb 4.011 3.210 2.488
Tb 0.056 6.228 7.558
Tb 4.011 3.210 7.549
Tb 5.528 5.190 5.019
Tm 2.036 4.718 0.000
Tl 5.998 1.692 0.000
```

- ΔE_f (meV per atom) = -15
- total magnetization (μB/cell) = 0.0
- DFT total energy (eV/atom) = -4.4940
- D(E_F) (states/eV per atom) = 1.384

---

No. 12
Tb3Tm4Tl after structural relaxation. Source: Alexandria, functional PBE. Values from VASP.

```
&SYSTEM
  ibrav = 0, nat = 8, ntyp = 3
/
ATOMIC_SPECIES
Tm 168.93 Tm.upf
Tb 158.93 Tb.upf
Tl 204.38 Tl.upf
CELL_PARAMETERS angstrom
-1.793 -2.440 -1.849
2.834 -2.133 0.067
-6.227 -7.763 16.287
ATOMIC_POSITIONS angstrom
Tm -0.688 -0.858 1.800
Tm -2.305 -2.874 6.029
Tm -3.922 -4.889 10.258
Tm -5.539 -6.905 14.487
Tb -4.216 -8.192 11.498
Tb -2.593 -6.168 7.253
Tb -0.969 -4.144 3.007
Tl 0.521 -2.287 -0.891
```

- ΔE_f (meV per atom) = -73
- offset from the most stable computed form (eV per formula unit) = 0.02
- total magnetization (μB/cell) = 0.0
- DFT total energy (eV/atom) = -4.3410
- D(E_F) (states/eV per atom) = 1.253